Computed, not measured: a relaxed LaPm5Zn3 crystal at the PBE level of DFT.

abc: 9.0659 9.0659 7.0496
angles: 90.00 90.00 120.00
Space group P6_3/mcm (No. 193)
Inequivalent atoms, fractional coordinates:
La  0.0000  0.0000  0.0000
Pm  0.0000  0.3320  0.2500
Pm  0.3333  0.6667  0.0000
Zn  0.0000  0.3385  0.7500

=====

Computed, not measured: a relaxed TlTcMo2 crystal at the PBE level of DFT.

Values from the calculation:
* distance to the lowest polymorph of the same formula: 0.28 eV/f.u.

abc: 3.207 4.764 9.144
angles: 90.00 90.00 90.00
Space group Cmm2 (No. 35)
Inequivalent atoms, fractional coordinates:
Tl  0.000  0.000  0.000
Tc  0.000  0.500  0.730
Mo  0.000  0.000  0.505
Mo  0.000  0.500  0.276

=====

So what do the calculations give for calculated density? Going down the list: 7.02; 11.75 Mg/m³.
So what do the calculations give for energy relative to the elements? Going down the list: -12.7; 46.9 kJ/mol of atoms.
So what do the calculations give for size of the total moment? Going down the list: 0.00; 0.00 μB per cell.